(1)
A plane-wave DFT calculation with PBE-GGA was carried out for a geometry-optimized Li2La2Zn15 structure.

abc: 6.8674 6.8674 6.8674
angles: 83.44 83.44 83.44
Fractional positions:
Zn (0.7089, 0.2911, 0.0000)
Zn (0.2911, 0.7089, 0.0000)
Zn (0.3488, 0.3488, 0.8418)
Zn (0.1582, 0.6512, 0.6512)
Zn (0.8418, 0.3488, 0.3488)
Zn (0.2911, 0.0000, 0.7089)
Zn (0.3488, 0.8418, 0.3488)
Zn (0.6512, 0.1582, 0.6512)
Zn (0.0000, 0.0000, 0.5000)
Zn (0.0000, 0.2911, 0.7089)
Zn (0.0000, 0.5000, 0.0000)
Zn (0.0000, 0.7089, 0.2911)
Zn (0.7089, 0.0000, 0.2911)
Zn (0.5000, 0.0000, 0.0000)
Zn (0.6512, 0.6512, 0.1582)
Li (0.0978, 0.0978, 0.0978)
Li (0.9022, 0.9022, 0.9022)
La (0.3398, 0.3398, 0.3398)
La (0.6602, 0.6602, 0.6602)

Computed properties:
final energy = -38.01 eV/f.u.
magnetization = 0.004 μB per cell
space group = R-3m, No. 166


(2)
A plane-wave DFT calculation with PBE-GGA was carried out for a geometry-optimized Ir2SeS3 structure.

abc: 5.7295 3.4215 10.7501
angles: 90.00 103.85 90.00
Fractional positions:
Ir (0.6236, 0.0000, 0.9949)
Ir (0.0337, 0.5000, 0.9802)
Se (0.3544, 0.0000, 0.1512)
S (0.2014, 0.0000, 0.8828)
S (0.7894, 0.5000, 0.1428)
S (0.6535, 0.5000, 0.8480)

Computed properties:
final energy = -33.41 eV/f.u.
magnetization = 0.005 μB per cell
space group = Pm, No. 6